# BeP2AuCl

A geometry-optimized BeP2AuCl structure (GGA-PBE, Alexandria).

Results
The formation energy from raw total energies is 57 kJ per mole of atoms. For the density of states at the Fermi level, the calculation gives 2.2 states/eV/cell. The calculation puts the energy at -3.34 eV per atom. The calculated volume comes out at 16.9 A^3/atom. The calculation puts the energy relative to the lowest polymorph listed for this composition at 0.000 eV per atom.

abc: 4.4195 4.4195 4.3329
angles: 90.00 90.00 90.00
Last column: nearest neighbours and their distance in Å.
Fractional coordinates of all 5 atoms:
Be: 0.0000 0.0000 0.0000  2 Cl 2.17, 4 P 2.21
P: 0.0000 0.5000 0.0000  2 Be 2.21
P: 0.5000 0.0000 0.0000  2 Be 2.21
Au: 0.5000 0.5000 0.5000  8 P 3.09, 4 Cl 3.13
Cl: 0.0000 0.0000 0.5000  2 Be 2.17

# Ce3SmN3

A geometry-optimized Ce3SmN3 structure (GGA-PBE, Alexandria).

Results
The formation energy from raw total energies is -118 kJ per mole of atoms. For the density of states at the Fermi level, the calculation gives 9.1 states/eV/cell. The calculation puts the energy at -8.01 eV per atom. The calculated volume comes out at 18.1 A^3/atom.

abc: 5.0236 5.0236 5.0236
angles: 90.00 90.00 90.00
Last column: nearest neighbours and their distance in Å.
Fractional coordinates of all 7 atoms:
Ce: 0.0000 0.0000 0.5000  4 N 2.51
Ce: 0.0000 0.5000 0.0000  4 N 2.51
Ce: 0.5000 0.0000 0.0000  4 N 2.51
Sm: 0.5000 0.5000 0.5000  6 N 2.51
N: 0.0000 0.5000 0.5000  4 Ce 2.51, 2 Sm 2.51
N: 0.5000 0.0000 0.5000  4 Ce 2.51, 2 Sm 2.51
N: 0.5000 0.5000 0.0000  4 Ce 2.51, 2 Sm 2.51

# La2NdIr

A geometry-optimized La2NdIr structure (GGA-PBE, Alexandria).

Results
As for the formation energy: -0.44 eV/atom. For the density of states at the Fermi level, the calculation gives 10.6 states/eV/cell. The calculation puts the energy at -6.31 eV per atom. The calculated volume comes out at 30.6 A^3/atom. The calculation puts the energy relative to the lowest polymorph listed for this composition at 0.035 eV per atom.

abc: 6.4101 6.4101 10.0988
angles: 90.00 90.00 143.88
Last column: nearest neighbours and their distance in Å.
Fractional coordinates of all 8 atoms:
La: 0.1406 0.8594 0.5681  2 Ir 2.91
La: 0.1406 0.8594 0.9319  2 Ir 2.91
La: 0.8594 0.1406 0.0681  2 Ir 2.91
La: 0.8594 0.1406 0.4319  2 Ir 2.91
Nd: 0.4156 0.5844 0.7500  2 Ir 3.02
Nd: 0.5844 0.4156 0.2500  2 Ir 3.02
Ir: 0.2714 0.7286 0.2500  4 La 2.91, 2 Nd 3.02
Ir: 0.7286 0.2714 0.7500  4 La 2.91, 2 Nd 3.02